Material: RbNiP2
Method: DFT, PBE-GGA
State: relaxed

Structure (extended XYZ):
```
8
Lattice="5.025 0.000 0.000 0.000 5.025 0.000 2.513 2.513 7.335" Properties=species:S:1:pos:R:3 pbc="T T T"
Ni 2.513 5.025 3.668
P 6.282 5.025 5.502
P 2.513 1.256 1.834
Rb 0.000 0.000 0.000
P 3.769 5.025 5.502
Ni 2.513 2.513 0.000
P 2.513 3.769 1.834
Rb 5.025 2.513 3.668
```

magnetization = 0.0000 μB per atom
density of states at the Fermi level = 5.8 states/eV per cell
raw total energy = -4.530 eV/atom
energy of formation from the pure elements = -0.1380 eV/atom